1.
This record from Alexandria via LeMat-Bulk describes a relaxed AcCeSn2 crystal. The functional is GGA-PBE.

The energy of formation comes out at -0.58 eV/atom.

The structure belongs to space group P4/mmm (No. 123); the cell edges are 3.680, 3.680 and 9.094 Å and the angles 90.00°, 90.00° and 90.00°. The inequivalent atoms are Ac at (0.000, 0.000, 0.000), Ce at (0.000, 0.000, 0.500) and Sn at (0.500, 0.500, 0.263).



2.
This record from Alexandria via LeMat-Bulk describes a relaxed KRb2GaAu crystal. The functional is GGA-PBE.

The energy of formation comes out at -0.02 eV/atom.

The structure belongs to space group P4/mmm (No. 123); the cell edges are 7.125, 7.125 and 4.903 Å and the angles 90.00°, 90.00° and 90.00°. The inequivalent atoms are K at (0.000, 0.000, 0.000), Rb at (0.000, 0.500, 0.500), Ga at (0.500, 0.500, 0.500) and Au at (0.500, 0.500, 0.000).



3.
This record from Alexandria via LeMat-Bulk describes a relaxed KErIn4O8 crystal. The functional is GGA-PBE.

Its formation energy from raw total energies is -25.23 eV/f.u.

The structure belongs to space group R3m (No. 160, hexagonal axes); the cell edges are 6.7165, 6.7165 and 16.5035 Å and the angles 90.00°, 90.00° and 120.00°. The inequivalent atoms are K at (0.0000, 0.0000, 0.0000), Er at (0.0000, 0.0000, 0.6274), In at (0.0000, 0.0000, 0.2455), In at (0.1717, 0.3435, 0.4559), O at (0.0000, 0.0000, 0.3823), O at (0.0000, 0.0000, 0.8546), O at (0.0521, 0.5260, 0.3810) and O at (0.1760, 0.3520, 0.2027).



4.
This record from Alexandria via LeMat-Bulk describes a relaxed Sm3IrBr3 crystal. The functional is GGA-PBE.

Its formation energy from raw total energies is -9.68 eV/f.u.

The structure belongs to space group P2_1/m (No. 11); the cell edges are 8.726, 4.212 and 12.120 Å and the angles 90.00°, 90.94° and 90.00°. The inequivalent atoms are Sm at (0.098, 0.250, 0.329), Sm at (0.148, 0.250, 0.863), Sm at (0.271, 0.750, 0.100), Ir at (0.056, 0.250, 0.098), Br at (0.133, 0.250, 0.600), Br at (0.337, 0.750, 0.352) and Br at (0.433, 0.750, 0.871).



5.
This record from Alexandria via LeMat-Bulk describes a relaxed TiC2Cl crystal. The functional is GGA-PBE.

Its formation energy from raw total energies is 6.40 eV/f.u.

The structure belongs to space group I-42d (No. 122); the cell edges are 4.962, 4.962 and 10.378 Å and the angles 90.00°, 90.00° and 90.00°. The inequivalent atoms are Ti at (0.000, 0.000, 0.000), C at (0.194, 0.250, 0.125) and Cl at (0.000, 0.000, 0.500).



6.
This record from Alexandria via LeMat-Bulk describes a relaxed SrLaSm crystal. The functional is GGA-PBE.

The energy of formation comes out at 0.09 eV/atom.

The structure belongs to space group I4mm (No. 107); the cell edges are 3.829, 3.829 and 16.567 Å and the angles 90.00°, 90.00° and 90.00°. The inequivalent atoms are Sr at (0.000, 0.000, 0.000), La at (0.000, 0.000, 0.317) and Sm at (0.000, 0.000, 0.675).



7.
This record from Alexandria via LeMat-Bulk describes a relaxed EuNpSb2 crystal. The functional is GGA-PBE.

Its formation energy from raw total energies is -1.94 eV/f.u.

The structure belongs to space group P4/mmm (No. 123); the cell edges are 5.831, 5.831 and 3.268 Å and the angles 90.00°, 90.00° and 90.00°. The inequivalent atoms are Eu at (0.000, 0.000, 0.000), Np at (0.500, 0.500, 0.000) and Sb at (0.000, 0.500, 0.500).



8.
This record from Alexandria via LeMat-Bulk describes a relaxed NiAsP2 crystal. The functional is GGA-PBE.

The energy of formation comes out at 0.43 eV/atom.

The structure belongs to space group Pmmm (No. 47); the cell edges are 2.622, 4.612 and 4.725 Å and the angles 90.00°, 90.00° and 90.00°. The inequivalent atoms are Ni at (0.000, 0.000, 0.000), As at (0.500, 0.500, 0.000), P at (0.000, 0.500, 0.500) and P at (0.500, 0.000, 0.500).